The following is a GGA-PBE calculation of Ho5Hg2Ir2Ru after structural relaxation, from Alexandria.

Its formation enthalpy at 0 K is -0.499 eV/atom.

The structure belongs to space group P4/mbm (No. 127); the cell edges are 11.528, 11.528 and 3.550 Å and the angles 90.00°, 90.00° and 90.00°. Symmetry generates all atoms from Ho at (0.000, 0.500, 0.000), Ho at (0.076, 0.192, 0.000), Hg at (0.175, 0.675, 0.500), Ir at (0.133, 0.367, 0.500) and Ru at (0.000, 0.000, 0.500).


The following is a GGA-PBE calculation of CuHgO2 after structural relaxation, from Alexandria.

The formation energy from raw total energies is -0.29 eV per atom.

The structure belongs to space group P-4m2 (No. 115); the cell edges are 3.814, 3.814 and 3.688 Å and the angles 90.00°, 90.00° and 90.00°. Symmetry generates all atoms from Cu at (0.000, 0.000, 0.000), Hg at (0.500, 0.500, 0.500) and O at (0.000, 0.500, 0.881).


The following is a GGA-PBE calculation of ZrBrN2 after structural relaxation, from Alexandria.

The formation energy from raw total energies is 1.03 eV per atom.

The structure belongs to space group Fm-3m (No. 225); the cell edges are 5.896, 5.896 and 5.896 Å and the angles 90.00°, 90.00° and 90.00°. Symmetry generates all atoms from Zr at (0.000, 0.000, 0.000), Br at (0.000, 0.000, 0.500) and N at (0.250, 0.250, 0.250).


The following is a GGA-PBE calculation of Mg14ZnGa after structural relaxation, from Alexandria.

Its formation enthalpy at 0 K is -0.013 eV/atom.

The structure belongs to space group Amm2 (No. 38); the cell edges are 10.053, 6.402 and 10.835 Å and the angles 90.00°, 90.00° and 90.00°. Symmetry generates all atoms from Mg at (0.000, 0.000, 0.000), Mg at (0.000, 0.000, 0.500), Mg at (0.000, 0.250, 0.247), Mg at (0.252, 0.000, 0.330), Mg at (0.254, 0.000, 0.830), Mg at (0.265, 0.249, 0.076), Mg at (0.500, 0.250, 0.254), Zn at (0.500, 0.000, 0.994) and Ga at (0.500, 0.000, 0.496).


The following is a GGA-PBE calculation of LiLaErOs after structural relaxation, from Alexandria.

Its formation enthalpy at 0 K is -0.146 eV/atom.

The structure belongs to space group F-43m (No. 216); the cell edges are 7.066, 7.066 and 7.066 Å and the angles 90.00°, 90.00° and 90.00°. Symmetry generates all atoms from Li at (0.000, 0.000, 0.000), La at (0.250, 0.250, 0.250), Er at (0.250, 0.250, 0.750) and Os at (0.000, 0.000, 0.500).


The following is a GGA-PBE calculation of CrSbBr2 after structural relaxation, from Alexandria.

The formation energy from raw total energies is -0.02 eV per atom.

The structure belongs to space group P4mm (No. 99); the cell edges are 3.501, 3.501 and 8.689 Å and the angles 90.00°, 90.00° and 90.00°. Symmetry generates all atoms from Cr at (0.000, 0.000, 0.000), Sb at (0.500, 0.500, 0.192), Br at (0.000, 0.000, 0.424) and Br at (0.500, 0.500, 0.831).


DOS(E_F)
In order: 13.89, 1.63, 20.51, 16.08, 10.52, 1.29
Unit: states/eV per cell